## Ca7Zn2Au2 (GGA-PBE)

Data for a relaxed Ca7Zn2Au2 crystal.

a b c (Å): 8.2783 11.4106 7.4123
angles (deg): 90.00 90.00 90.00
Space group Cmmm (No. 65)
Asymmetric unit:
Ca: 0.0000 0.0000 0.0000 x2
Ca: 0.0000 0.5000 0.2554 x4
Ca: 0.2500 0.2500 0.2705 x8
Zn: 0.1607 0.0000 0.5000 x4
Au: 0.0000 0.2895 0.0000 x4

Computed properties:
As for the volume: 31.8 Å³ per atom. The uncorrected energy is -2.3971 eV/atom. The energy relative to the elements is -0.296 eV per atom. Its density of states at the Fermi level is 17.9 states/eV/cell.